# 1
A relaxed structure of HoVGa3, computed with PBE-GGA.

Unit cell a=6.2401 b=6.2401 c=5.5133 alpha=90.00 beta=90.00 gamma=120.00
Last column: nearest neighbours and their distance in Å.
Space group P6_3/mmc (No. 194)
Unique sites:
Ho: 0.3333 0.6667 0.2500 x2  12 Ga 3.13-3.14
V: 0.0000 0.0000 0.0000 x2  6 Ga 2.51, 2 V 2.76
Ga: 0.1936 0.3871 0.7500 x6  2 V 2.51, 2 Ga 2.62

Calculated values
Density of states at the Fermi level in states/eV per cell: 5.492


# 2
A relaxed structure of HoVGa4, computed with PBE-GGA.

Unit cell a=7.4343 b=7.4343 c=7.4343 alpha=90.00 beta=90.00 gamma=90.00
Last column: nearest neighbours and their distance in Å.
Space group F-43m (No. 216)
Unique sites:
Ho: 0.0000 0.0000 0.0000 x4  12 Ga 3.08, 4 V 3.22
V: 0.2500 0.2500 0.2500 x4  12 Ga 3.08, 4 Ho 3.22
Ga: 0.1245 0.1245 0.6245 x16  6 Ga 2.62-2.64

Calculated values
Density of states at the Fermi level in states/eV per cell: 3.539


# 3
A relaxed structure of HoVGa2, computed with PBE-GGA.

Unit cell a=3.3958 b=3.3958 c=6.2654 alpha=90.00 beta=90.00 gamma=90.00
Last column: nearest neighbours and their distance in Å.
Space group P4/mmm (No. 123)
Unique sites:
Ho: 0.0000 0.0000 0.0000 x1  8 Ga 3.04, 2 V 3.13, 4 Ho 3.40
V: 0.0000 0.0000 0.5000 x1  8 Ga 2.71
Ga: 0.5000 0.5000 0.2987 x2  1 Ga 2.52, 4 V 2.71

Calculated values
E above lowest polymorph in kJ/mol of formula units: 0
Density of states at the Fermi level in states/eV per cell: 2.823


# 4
A relaxed structure of HoVGa, computed with PBE-GGA.

Unit cell a=8.1110 b=9.7004 c=12.8791 alpha=90.00 beta=90.00 gamma=90.00
Last column: nearest neighbours and their distance in Å.
Space group Fddd (No. 70, origin choice 2)
Unique sites:
Ho: 0.0000 0.0000 0.0000 x16  2 Ga 2.92, 2 Ho 3.16, 2 V 3.25
V: 0.1250 0.0219 0.6250 x16  1 V 2.00
Ga: 0.1250 0.1250 0.4408 x16  4 V 2.57-2.62

Calculated values
E above lowest polymorph in kJ/mol of formula units: 18
Density of states at the Fermi level in states/eV per cell: 50.645


# 5
A relaxed structure of Ho2VGa6, computed with PBE-GGA.

Unit cell a=5.8660 b=5.8660 c=5.6258 alpha=90.00 beta=90.00 gamma=120.00
Last column: nearest neighbours and their distance in Å.
Space group P-3m1 (No. 164)
Unique sites:
Ho: 0.3333 0.6667 0.3309 x2  12 Ga 3.05-3.30
V: 0.0000 0.0000 0.5000 x1  6 Ga 2.53
Ga: 0.1771 0.3542 0.8172 x6  1 V 2.53, 4 Ga 2.73-2.75

Calculated values
Density of states at the Fermi level in states/eV per cell: 4.076


# 6
A relaxed structure of HoVGa6, computed with PBE-GGA.

Unit cell a=5.2498 b=9.0818 c=5.8731 alpha=90.00 beta=90.52 gamma=90.00
Last column: nearest neighbours and their distance in Å.
Space group C2/m (No. 12)
Unique sites:
Ho: 0.0000 0.0000 0.0000 x2  2 V 2.94, 12 Ga 3.06-3.07
V: 0.0000 0.0000 0.5000 x2  2 Ho 2.94, 12 Ga 2.94-2.97
Ga: 0.0013 0.5000 0.2690 x4  5 Ga 2.62-2.71
Ga: 0.2485 0.2500 0.7320 x8  5 Ga 2.62-2.72

Calculated values
Density of states at the Fermi level in states/eV per cell: 6.988


# 7
A relaxed structure of Ho2VGa, computed with PBE-GGA.

Unit cell a=3.3041 b=3.3041 c=31.0493 alpha=90.00 beta=90.00 gamma=120.00
Last column: nearest neighbours and their distance in Å.
Space group R-3m (No. 166, hexagonal axes)
Unique sites:
Ho: 0.0000 0.0000 0.0920 x6  1 V 2.86, 3 Ga 3.00
V: 0.0000 0.0000 0.0000 x3  2 Ho 2.86
Ga: 0.0000 0.0000 0.5000 x3  6 Ho 3.00, 6 Ga 3.30

Calculated values
Density of states at the Fermi level in states/eV per cell: 14.424


# 8
A relaxed structure of HoVGa2, computed with PBE-GGA.

Unit cell a=4.2082 b=4.2082 c=15.2545 alpha=90.00 beta=90.00 gamma=120.00
Last column: nearest neighbours and their distance in Å.
Space group R-3m (No. 166, hexagonal axes)
Unique sites:
Ho: 0.0000 0.0000 0.0000 x3  6 Ga 2.96
V: 0.0000 0.0000 0.5000 x3  6 Ga 2.57
Ga: 0.0000 0.0000 0.2223 x6  3 V 2.57

Calculated values
E above lowest polymorph in kJ/mol of formula units: 20
Density of states at the Fermi level in states/eV per cell: 10.705


Number 1: DFT formation energy -357 meV/atom. Number 2: DFT formation energy -198 meV/atom. Number 3: DFT formation energy -240 meV/atom. Number 4: DFT formation energy 13 meV/atom. Number 5: DFT formation energy -436 meV/atom. Number 6: DFT formation energy -203 meV/atom. Number 7: DFT formation energy 405 meV/atom. Number 8: DFT formation energy -188 meV/atom.